Material: CaAg2TeSe4
Method: DFT, PBE
State: relaxed

Results
The value obtained for the theoretical density is 5.97 g cm⁻³. The calculation puts the density of states at the Fermi level at 2.574 states/eV/f.u.

Structure (POSCAR):
```
CaAg2TeSe4
1.0
-0.642 7.636 2.982
-7.980 -1.394 1.407
5.652 -5.123 3.034
Se Ca Ag Te
8 2 4 2
Cartesian
-3.677 2.127 4.794
-6.454 4.645 3.302
3.485 -3.526 4.122
-3.303 -1.629 3.405
0.707 -1.008 2.630
3.254 0.302 5.556
0.333 2.747 4.018
-6.224 0.816 1.868
-1.806 4.377 5.203
-3.990 -0.697 0.703
-4.311 3.121 2.194
-0.321 3.818 1.491
2.505 1.257 3.008
2.826 -2.561 1.517
-1.485 0.559 3.712
5.010 2.513 6.016
```

---

Material: CaAgTeSe2
Method: DFT, PBE
State: relaxed

Results
The value obtained for the theoretical density is 4.54 g cm⁻³. The calculation puts the density of states at the Fermi level at 1.213 states/eV/f.u.

Structure (POSCAR):
```
CaAgTeSe2
1.0
5.596 0.000 0.000
0.000 5.058 0.000
0.000 0.000 5.596
Se Ca Ag Te
2 1 1 1
Cartesian
0.000 0.000 2.798
2.798 0.000 0.000
2.798 2.529 2.798
0.000 2.529 0.000
0.000 0.000 0.000
```

---

Material: CaTmAgSe3
Method: DFT, PBE
State: relaxed

Results
The value obtained for the theoretical density is 6.20 g cm⁻³.

Structure (POSCAR):
```
CaTmAgSe3
1.0
-2.208 3.407 0.060
-3.833 -2.601 6.601
7.303 4.673 3.415
Tm Se Ag Ca
2 6 2 2
Cartesian
3.189 5.608 5.008
-1.927 -0.129 5.067
1.047 4.243 3.652
-2.200 2.144 3.369
-4.195 0.794 6.549
3.462 3.335 6.706
5.457 4.684 3.526
0.216 1.236 6.424
3.377 3.352 2.645
-2.114 2.127 7.431
0.535 1.517 2.246
0.728 3.962 7.829
```

---

Material: Ca2UAg3Se6
Method: DFT, PBE
State: relaxed

Results
The value obtained for the theoretical density is 6.09 g cm⁻³. The calculation puts the density of states at the Fermi level at 0.065 states/eV/f.u.

Structure (POSCAR):
```
Ca2UAg3Se6
1.0
-0.293 4.464 -5.943
-6.207 -2.462 3.276
1.559 4.660 4.500
Ag Se U Ca
3 6 1 2
Cartesian
-2.471 3.331 0.917
-4.708 0.711 4.405
-0.234 5.951 -2.571
-0.567 4.165 2.765
-2.986 6.155 -0.116
-1.956 0.507 1.950
-0.122 2.654 -0.909
-4.375 2.496 -0.931
-4.820 4.007 2.742
0.000 0.000 0.000
-4.279 -0.204 0.270
-2.222 2.205 -2.937
```

---

Material: Ca2UAg2Se6
Method: DFT, PBE
State: relaxed

Results
The value obtained for the theoretical density is 5.40 g cm⁻³. The calculation puts the density of states at the Fermi level at 0.795 states/eV/f.u.

Structure (POSCAR):
```
Ca2UAg2Se6
1.0
7.351 -0.021 0.432
-3.652 6.380 0.432
-1.045 -1.796 6.374
U Se Ca Ag
1 6 2 2
Cartesian
-0.522 -0.898 3.187
1.947 3.347 5.256
1.685 -1.033 4.822
0.707 1.216 1.983
4.385 3.608 2.417
-1.730 0.954 4.822
0.970 5.595 2.417
3.184 1.201 3.619
-0.530 3.362 3.619
-2.371 5.634 0.432
6.070 0.724 0.432
```

---

Material: CaUAg2Se4
Method: DFT, PBE
State: relaxed

Results
The value obtained for the theoretical density is 6.77 g cm⁻³. The calculation puts the density of states at the Fermi level at 6.423 states/eV/f.u.

Structure (POSCAR):
```
CaUAg2Se4
1.0
5.733 0.003 0.000
-0.003 5.733 0.000
-2.865 -2.868 6.045
Se Ag U Ca
4 2 1 1
Cartesian
2.865 2.868 2.961
2.867 0.001 5.838
2.867 0.001 0.207
0.000 0.000 3.084
-0.001 2.867 3.023
0.000 0.000 0.000
2.867 0.001 3.023
2.865 2.868 0.000
```

---

Material: CaVAgSe2
Method: DFT, PBE
State: relaxed

Results
The value obtained for the theoretical density is 4.04 g cm⁻³. The calculation puts the density of states at the Fermi level at 5.771 states/eV/f.u.

Structure (POSCAR):
```
CaVAgSe2
1.0
5.322 0.000 0.000
0.000 5.184 0.000
0.000 0.000 5.322
V Se Ca Ag
1 2 1 1
Cartesian
2.661 2.592 2.661
0.000 0.000 2.661
2.661 0.000 0.000
0.000 0.000 0.000
0.000 2.592 0.000
```

---

Material: Ca2YAgSe4
Method: DFT, PBE
State: relaxed

Results
The value obtained for the theoretical density is 4.83 g cm⁻³.

Structure (POSCAR):
```
Ca2YAgSe4
1.0
-1.519 3.612 -1.446
-2.483 1.591 6.583
6.688 2.514 -0.744
Se Ag Ca Y
4 1 2 1
Cartesian
2.456 4.904 3.639
0.230 2.814 0.755
-0.196 1.797 4.694
4.401 2.309 1.145
0.000 0.000 0.000
2.584 3.063 -1.095
2.102 2.053 2.920
-2.001 2.602 2.569
```

---

Material: CaSi2Ag
Method: DFT, PBE
State: relaxed

Results
The value obtained for the theoretical density is 4.06 g cm⁻³. The calculation puts the density of states at the Fermi level at 1.078 states/eV/f.u.

Structure (POSCAR):
```
CaSi2Ag
1.0
-4.358 1.836 0.648
-4.409 -1.738 -0.569
-1.881 -1.604 4.789
Si Ca Ag
2 1 1
Cartesian
-2.817 -0.369 1.202
-8.602 -0.056 0.526
-7.927 -1.148 3.703
-5.393 -0.587 1.951
```

---

Material: CaSiAg2
Method: DFT, PBE
State: relaxed

Results
The value obtained for the theoretical density is 5.85 g cm⁻³. The calculation puts the density of states at the Fermi level at 2.114 states/eV/f.u.

Structure (POSCAR):
```
CaSiAg2
1.0
-4.278 -0.135 -0.823
0.828 -0.187 -4.274
0.094 -4.238 0.204
Ca Si Ag
1 1 2
Cartesian
-2.092 -2.186 -0.310
0.461 -2.213 -2.035
0.000 0.000 0.000
-1.725 -0.161 -2.549
```

---

Material: Ca3Si2Ag3
Method: DFT, PBE
State: relaxed

Results
The value obtained for the theoretical density is 4.54 g cm⁻³. The calculation puts the density of states at the Fermi level at 3.862 states/eV/f.u.

Structure (POSCAR):
```
Ca3Si2Ag3
1.0
5.812 0.000 0.000
0.000 8.002 0.000
0.000 0.000 15.714
Ca Si Ag
12 8 12
Cartesian
3.638 0.243 14.025
3.690 2.703 3.929
3.638 0.243 9.546
2.174 7.760 6.168
5.080 4.244 14.025
5.080 4.244 9.546
0.732 3.759 1.689
0.784 1.298 11.786
2.174 7.760 1.689
0.732 3.759 6.168
2.122 5.299 11.786
5.028 6.704 3.929
3.633 4.979 6.162
3.633 4.979 1.695
0.727 7.024 9.552
0.727 7.024 14.020
2.179 3.023 14.020
5.085 0.978 6.162
2.179 3.023 9.552
5.085 0.978 1.695
3.526 2.605 0.522
0.621 1.396 15.192
2.285 5.397 15.192
5.191 6.606 7.335
5.131 6.545 11.786
5.191 6.606 0.522
0.681 1.457 3.929
2.285 5.397 8.379
3.526 2.605 7.335
2.225 5.458 3.929
0.621 1.396 8.379
3.587 2.544 11.786
```

---

Material: CaSi2Ag
Method: DFT, PBE
State: relaxed

Results
The value obtained for the theoretical density is 4.30 g cm⁻³. The calculation puts the density of states at the Fermi level at 2.947 states/eV/f.u.

Structure (POSCAR):
```
CaSi2Ag
1.0
-2.158 -1.679 -3.959
0.439 -4.640 -1.196
-3.779 -2.952 0.389
Ca Si Ag
1 2 1
Cartesian
-1.375 -2.318 -1.192
-4.124 -6.953 -3.575
0.000 0.000 0.000
-2.749 -4.635 -2.383
```

---

Material: CaSi2Ag
Method: DFT, PBE
State: relaxed

Results
The value obtained for the theoretical density is 3.59 g cm⁻³. The calculation puts the density of states at the Fermi level at 1.697 states/eV/f.u.

Structure (POSCAR):
```
CaSi2Ag
1.0
-0.057 2.049 -4.151
1.959 -3.751 -1.878
-7.027 -4.235 -4.576
Ag Si Ca
2 4 2
Cartesian
0.000 0.000 0.000
-3.067 -1.519 -5.871
-0.587 -1.445 -6.286
-1.557 0.099 -4.675
-4.888 -3.180 -5.375
-5.234 -1.549 -7.147
-2.059 -4.419 -4.734
0.951 -0.851 -3.015
```

---

Material: Ca2SiAg
Method: DFT, PBE
State: relaxed

Results
The value obtained for the theoretical density is 3.74 g cm⁻³. The calculation puts the density of states at the Fermi level at 1.525 states/eV/f.u.

Structure (POSCAR):
```
Ca2SiAg
1.0
-4.294 -2.238 -1.971
0.172 -2.500 2.465
-2.972 2.914 3.164
Ca Ag Si
2 1 1
Cartesian
-2.578 2.237 3.076
-3.240 -0.338 0.509
-4.640 -0.132 3.325
-5.300 -2.708 0.755
```

---

Material: CaSiAg2
Method: DFT, PBE
State: relaxed

Results
The value obtained for the theoretical density is 5.39 g cm⁻³. The calculation puts the density of states at the Fermi level at 0.729 states/eV/f.u.

Structure (POSCAR):
```
CaSiAg2
1.0
-3.048 -0.977 -3.164
1.179 -2.481 -3.565
-1.866 -5.300 0.215
Ca Ag Si
1 2 1
Cartesian
-1.832 -4.262 -3.324
-1.979 -3.823 -6.514
-2.928 -6.991 -4.635
-0.733 -1.520 -2.027
```

---

Material: Ca2SiAg
Method: DFT, PBE
State: relaxed

Results
The value obtained for the theoretical density is 3.76 g cm⁻³. The calculation puts the density of states at the Fermi level at 2.488 states/eV/f.u.

Structure (POSCAR):
```
Ca2SiAg
1.0
5.789 -0.016 0.000
2.417 5.260 0.000
-4.103 -2.622 3.130
Ca Si Ag
2 1 1
Cartesian
1.209 2.630 1.565
0.000 0.000 0.000
4.103 2.622 0.000
2.894 -0.008 1.565
```

---

Material: CaSi2Ag
Method: DFT, PBE
State: relaxed

Results
The value obtained for the theoretical density is 3.88 g cm⁻³. The calculation puts the density of states at the Fermi level at 1.469 states/eV/f.u.

Structure (POSCAR):
```
CaSi2Ag
1.0
6.913 -0.026 -0.016
5.812 3.744 -0.016
5.812 1.698 3.337
Ag Si Ca
1 2 1
Cartesian
9.633 2.814 1.717
4.848 1.416 0.864
18.034 5.269 3.215
13.826 4.040 2.465
```

---

Material: CaSiAg2
Method: DFT, PBE
State: relaxed

Results
The value obtained for the theoretical density is 4.64 g cm⁻³. The calculation puts the density of states at the Fermi level at 1.004 states/eV/f.u.

Structure (POSCAR):
```
CaSiAg2
1.0
4.898 0.000 0.000
0.000 4.898 0.000
2.449 2.449 8.470
Ca Ag Si
2 4 2
Cartesian
0.000 0.000 0.000
4.898 2.449 4.235
1.882 3.673 2.118
3.673 4.331 6.353
6.122 5.465 6.353
3.016 1.224 2.118
2.449 2.449 0.000
2.449 4.898 4.235
```

---

Material: Ca2SiAg
Method: DFT, PBE
State: relaxed

Results
The value obtained for the theoretical density is 3.36 g cm⁻³. The calculation puts the density of states at the Fermi level at 2.972 states/eV/f.u.

Structure (POSCAR):
```
Ca2SiAg
1.0
-0.200 3.615 -0.394
-2.331 0.174 2.794
6.166 0.895 5.088
Si Ca Ag
1 2 1
Cartesian
3.396 0.493 2.803
0.694 2.179 2.816
5.740 0.833 4.737
3.055 2.522 4.764
```

---

Material: CaSi2Ag
Method: DFT, PBE
State: relaxed

Results
The value obtained for the theoretical density is 4.28 g cm⁻³. The calculation puts the density of states at the Fermi level at 1.409 states/eV/f.u.

Structure (POSCAR):
```
CaSi2Ag
1.0
5.116 -0.031 0.000
1.323 4.942 0.000
-3.219 -2.455 3.127
Ca Si Ag
1 2 1
Cartesian
2.558 -0.016 1.564
3.219 2.455 0.000
0.000 0.000 0.000
0.661 2.471 1.564
```

---

Material: CaSi2Ag
Method: DFT, PBE
State: relaxed

Results
The value obtained for the theoretical density is 4.37 g cm⁻³. The calculation puts the density of states at the Fermi level at 1.299 states/eV/f.u.

Structure (POSCAR):
```
CaSi2Ag
1.0
-6.354 1.694 -1.458
1.531 -0.550 4.837
-0.923 2.940 0.620
Ag Si Ca
1 2 1
Cartesian
0.304 1.195 2.729
0.000 0.000 0.000
-3.639 2.317 -0.419
-2.412 0.572 1.689
```

---

Material: CaSiAg2
Method: DFT, PBE
State: relaxed

Results
The value obtained for the theoretical density is 5.67 g cm⁻³. The calculation puts the density of states at the Fermi level at 1.791 states/eV/f.u.

Structure (POSCAR):
```
CaSiAg2
1.0
-0.418 3.104 -1.778
-3.435 -0.845 -0.677
-1.779 2.875 5.439
Ag Ca Si
2 1 1
Cartesian
-1.726 2.790 5.277
-0.943 1.523 2.881
-2.372 1.849 0.132
-3.261 3.286 2.852
```

---

Material: Ca2SiAg
Method: DFT, PBE
State: relaxed

Results
The value obtained for the theoretical density is 3.70 g cm⁻³. The calculation puts the density of states at the Fermi level at 1.768 states/eV/f.u.

Structure (POSCAR):
```
Ca2SiAg
1.0
-3.444 0.249 5.060
-0.640 -1.615 5.874
1.673 3.784 2.904
Ca Si Ag
2 1 1
Cartesian
-3.932 -1.189 10.820
-2.011 1.581 10.546
-1.328 1.180 7.277
-0.429 0.688 3.050
```

---

Material: CaSi2Ag4
Method: DFT, PBE
State: relaxed

Results
The value obtained for the theoretical density is 6.60 g cm⁻³. The calculation puts the density of states at the Fermi level at 2.126 states/eV/f.u.

Structure (POSCAR):
```
CaSi2Ag4
1.0
4.320 0.000 0.000
0.000 4.128 -1.226
0.000 -0.031 7.459
Ag Si Ca
4 2 1
Cartesian
2.160 0.729 2.453
2.160 3.369 3.779
0.000 1.311 4.414
0.000 2.786 1.818
2.160 2.392 0.491
2.160 1.705 5.742
0.000 0.000 0.000
```

---

Material: Ca2Si2Ag
Method: DFT, PBE
State: relaxed

Results
The value obtained for the theoretical density is 3.01 g cm⁻³. The calculation puts the density of states at the Fermi level at 5.122 states/eV/f.u.

Structure (POSCAR):
```
Ca2Si2Ag
1.0
4.890 0.000 0.000
0.000 4.890 0.000
2.445 2.445 5.635
Si Ag Ca
2 1 2
Cartesian
4.890 4.890 4.531
2.445 2.445 1.104
0.000 0.000 0.000
2.445 4.890 2.817
4.890 2.445 2.817
```

---

no.,E_form (uncorrected) (meV/atom),total magnetic moment (μB per formula unit)
1,-475,0.00
2,-209,0.00
3,-1451,0.00
4,-983,1.00
5,-1072,0.06
6,-904,2.00
7,751,0.09
8,-1574,0.00
9,-31,0.00
10,-32,0.00
11,-336,0.00
12,166,0.00
13,29,0.00
14,-340,0.00
15,-168,0.00
16,-138,0.00
17,-29,0.00
18,15,0.00
19,-37,0.00
20,134,0.00
21,116,0.00
22,38,0.00
23,-231,0.00
24,-179,0.00
25,162,0.00